VASP calculation (PBE) on an optimized crystal structure of La2Tb2Hg.

Values from the calculation:
The energy above the most stable polymorph in this dataset is 155 meV/atom. Its density of states at the Fermi level is 2.010 states/eV per atom. Its energy of formation from the pure elements is -0.028 eV per atom.

Cell: 5.184 5.184 25.956 Å, 90.00 90.00 90.00°
Space group I4_1/amd (No. 141, origin choice 2)
Asymmetric unit:
1 La 0.000 0.250 0.052 (multiplicity 8)
2 Tb 0.000 0.250 0.201 (multiplicity 8)
3 Hg 0.000 0.250 0.375 (multiplicity 4)

---

VASP calculation (PBE) on an optimized crystal structure of La2Tb3Hg4.

Values from the calculation:
Its density of states at the Fermi level is 1.069 states/eV per atom. Its energy of formation from the pure elements is -0.363 eV per atom.

Cell: 7.119 17.851 8.363 Å, 90.00 90.00 90.00°
Space group Cmce (No. 64)
Asymmetric unit:
1 La 0.000 0.095 0.088 (multiplicity 8)
2 Tb 0.000 0.000 0.500 (multiplicity 4)
3 Tb 0.250 0.239 0.750 (multiplicity 8)
4 Hg 0.000 0.170 0.473 (multiplicity 8)
5 Hg 0.250 0.064 0.750 (multiplicity 8)

---

VASP calculation (PBE) on an optimized crystal structure of La5TbHg6.

Values from the calculation:
Its density of states at the Fermi level is 1.193 states/eV per atom. Its energy of formation from the pure elements is -0.493 eV per atom.

Cell: 5.461 7.808 8.670 Å, 90.00 108.27 90.00°
Space group P2/m (No. 10)
Asymmetric unit:
1 La 0.000 0.000 0.000 (multiplicity 1)
2 La 0.330 0.000 0.660 (multiplicity 2)
3 La 0.333 0.500 0.666 (multiplicity 2)
4 Tb 0.000 0.500 0.000 (multiplicity 1)
5 Hg 0.161 0.256 0.322 (multiplicity 4)
6 Hg 0.500 0.261 0.000 (multiplicity 2)

---

VASP calculation (PBE) on an optimized crystal structure of LaTb8Hg2.

Values from the calculation:
Its density of states at the Fermi level is 1.291 states/eV per atom. Its energy of formation from the pure elements is -0.048 eV per atom.

Cell: 8.809 14.944 5.623 Å, 90.00 110.44 90.00°
Space group C2/m (No. 12)
Asymmetric unit:
1 La 0.000 0.000 0.000 (multiplicity 2)
2 Tb 0.000 0.229 0.000 (multiplicity 4)
3 Tb 0.095 0.500 0.796 (multiplicity 4)
4 Tb 0.205 0.114 0.608 (multiplicity 8)
5 Hg 0.000 0.307 0.500 (multiplicity 4)

---

VASP calculation (PBE) on an optimized crystal structure of LaTb2Hg2.

Values from the calculation:
The energy above the most stable polymorph in this dataset is 0 meV/atom. Its density of states at the Fermi level is 1.041 states/eV per atom. Its energy of formation from the pure elements is -0.382 eV per atom.

Cell: 3.781 5.472 14.005 Å, 90.00 97.75 90.00°
Space group P2_1/m (No. 11)
Asymmetric unit:
1 La 0.147 0.250 0.291 (multiplicity 2)
2 Tb 0.049 0.750 0.097 (multiplicity 2)
3 Tb 0.236 0.750 0.472 (multiplicity 2)
4 Hg 0.355 0.250 0.712 (multiplicity 2)
5 Hg 0.457 0.750 0.912 (multiplicity 2)

---

VASP calculation (PBE) on an optimized crystal structure of La4TbHg.

Values from the calculation:
The energy above the most stable polymorph in this dataset is 372 meV/atom. Its density of states at the Fermi level is 1.561 states/eV per atom. Its energy of formation from the pure elements is 0.216 eV per atom.

Cell: 5.454 5.454 7.683 Å, 90.00 90.00 90.00°
Space group P4/mmm (No. 123)
Asymmetric unit:
1 La 0.000 0.500 0.242 (multiplicity 4)
2 Tb 0.000 0.000 0.500 (multiplicity 1)
3 Hg 0.500 0.500 0.000 (multiplicity 1)

---

VASP calculation (PBE) on an optimized crystal structure of LaTb2Hg5.

Values from the calculation:
Its density of states at the Fermi level is 0.554 states/eV per atom. Its energy of formation from the pure elements is -0.461 eV per atom.

Cell: 5.307 5.307 14.844 Å, 90.00 90.00 90.00°
Space group I4/mmm (No. 139)
Asymmetric unit:
1 La 0.000 0.000 0.000 (multiplicity 2)
2 Tb 0.000 0.000 0.269 (multiplicity 4)
3 Hg 0.000 0.000 0.500 (multiplicity 2)
4 Hg 0.000 0.500 0.130 (multiplicity 8)

---

VASP calculation (PBE) on an optimized crystal structure of LaTb2Hg8.

Values from the calculation:
Its density of states at the Fermi level is 0.548 states/eV per atom. Its energy of formation from the pure elements is -0.336 eV per atom.

Cell: 5.193 7.271 15.154 Å, 90.00 90.00 90.00°
Space group Immm (No. 71)
Asymmetric unit:
1 La 0.000 0.000 0.000 (multiplicity 2)
2 Tb 0.000 0.000 0.314 (multiplicity 4)
3 Hg 0.000 0.206 0.500 (multiplicity 4)
4 Hg 0.000 0.284 0.156 (multiplicity 8)
5 Hg 0.000 0.500 0.343 (multiplicity 4)